[1]
Density functional theory data (GGA-PBE) for an optimized crystal structure of PmTm2Sc8.

Output
As for the energy: -125.85 eV per cell.

a = 8.709 Å, b = 16.169 Å, c = 5.466 Å
α = 90.00°, β = 128.81°, γ = 90.00°
Space group C2/m (No. 12)
One atom of each set of equivalent atoms:
Pm1 0.000 0.000 0.000 [2 per cell]
Tm1 0.000 0.311 0.500 [4 per cell]
Sc1 0.000 0.203 0.000 [4 per cell]
Sc2 0.001 0.500 0.744 [4 per cell]
Sc3 0.229 0.131 0.728 [8 per cell]

[2]
Density functional theory data (GGA-PBE) for an optimized crystal structure of PmTm7Sc2.

Output
The relative energy among the computed polymorphs is 0.462 eV per atom. As for the energy: -83.88 eV per cell.

a = 8.683 Å, b = 15.031 Å, c = 5.532 Å
α = 90.00°, β = 90.00°, γ = 90.00°
Space group Cmmm (No. 65)
One atom of each set of equivalent atoms:
Pm1 0.000 0.000 0.000 [2 per cell]
Tm1 0.000 0.238 0.000 [4 per cell]
Tm2 0.000 0.500 0.500 [2 per cell]
Tm3 0.180 0.121 0.500 [8 per cell]
Sc1 0.000 0.296 0.500 [4 per cell]

[3]
Density functional theory data (GGA-PBE) for an optimized crystal structure of Pm4Tm5Sc.

Output
The relative energy among the computed polymorphs is 0.000 eV per atom. As for the energy: -47.37 eV per cell.

a = 8.649 Å, b = 3.550 Å, c = 10.479 Å
α = 90.00°, β = 105.04°, γ = 90.00°
Space group P2/m (No. 10)
One atom of each set of equivalent atoms:
Pm1 0.101 0.000 0.296 [2 per cell]
Pm2 0.296 0.000 0.901 [2 per cell]
Tm1 0.201 0.500 0.599 [2 per cell]
Tm2 0.403 0.500 0.203 [2 per cell]
Tm3 0.500 0.000 0.500 [1 per cell]
Sc1 0.000 0.500 0.000 [1 per cell]

[4]
Density functional theory data (GGA-PBE) for an optimized crystal structure of Pm12TmSc7.

Output
As for the energy: -308.09 eV per cell.

a = 14.8259 Å, b = 14.8259 Å, c = 9.7311 Å
α = 90.00°, β = 90.00°, γ = 120.00°
Space group R-3 (No. 148, hexagonal axes)
One atom of each set of equivalent atoms:
Pm1 0.0406 0.8468 0.2546 [18 per cell]
Pm2 0.0436 0.7872 0.5812 [18 per cell]
Tm1 0.0000 0.0000 0.0000 [3 per cell]
Sc1 0.0000 0.0000 0.5000 [3 per cell]
Sc2 0.0704 0.8269 0.9289 [18 per cell]

[5]
Density functional theory data (GGA-PBE) for an optimized crystal structure of Pm2Tm4Sc5.

Output
The relative energy among the computed polymorphs is 0.059 eV per atom. As for the energy: -113.87 eV per cell.

a = 11.983 Å, b = 6.367 Å, c = 9.998 Å
α = 90.00°, β = 124.07°, γ = 90.00°
Space group C2/m (No. 12)
One atom of each set of equivalent atoms:
Pm1 0.156 0.000 0.221 [4 per cell]
Tm1 0.233 0.000 0.968 [4 per cell]
Tm2 0.238 0.000 0.613 [4 per cell]
Sc1 0.000 0.500 0.000 [2 per cell]
Sc2 0.018 0.266 0.672 [8 per cell]

[6]
Density functional theory data (GGA-PBE) for an optimized crystal structure of Pm2Tm6Sc.

Output
The relative energy among the computed polymorphs is 0.000 eV per atom. As for the energy: -41.75 eV per cell.

a = 9.6071 Å, b = 9.6071 Å, c = 3.4053 Å
α = 90.00°, β = 90.00°, γ = 120.00°
Space group P6/mmm (No. 191)
One atom of each set of equivalent atoms:
Pm1 0.3333 0.6667 0.0000 [2 per cell]
Tm1 0.0000 0.3285 0.5000 [6 per cell]
Sc1 0.0000 0.0000 0.0000 [1 per cell]

[7]
Density functional theory data (GGA-PBE) for an optimized crystal structure of Pm5Tm6Sc.

Output
As for the energy: -113.06 eV per cell.

a = 5.015 Å, b = 9.956 Å, c = 15.048 Å
α = 90.00°, β = 90.00°, γ = 90.00°
Space group Immm (No. 71)
One atom of each set of equivalent atoms:
Pm1 0.000 0.000 0.000 [2 per cell]
Pm2 0.000 0.000 0.337 [4 per cell]
Pm3 0.000 0.500 0.333 [4 per cell]
Tm1 0.000 0.246 0.500 [4 per cell]
Tm2 0.000 0.253 0.165 [8 per cell]
Sc1 0.000 0.500 0.000 [2 per cell]

[8]
Density functional theory data (GGA-PBE) for an optimized crystal structure of Pm8TmSc3.

Output
As for the energy: -107.00 eV per cell.

a = 7.608 Å, b = 7.608 Å, c = 15.316 Å
α = 90.00°, β = 90.00°, γ = 90.00°
Space group I4/mmm (No. 139)
One atom of each set of equivalent atoms:
Pm1 0.246 0.246 0.128 [16 per cell]
Tm1 0.000 0.000 0.500 [2 per cell]
Sc1 0.000 0.000 0.000 [2 per cell]
Sc2 0.000 0.500 0.250 [4 per cell]

[9]
Density functional theory data (GGA-PBE) for an optimized crystal structure of PmTm4Sc3.

Output
The relative energy among the computed polymorphs is 0.000 eV per atom. As for the energy: -82.92 eV per cell.

a = 10.853 Å, b = 6.993 Å, c = 6.022 Å
α = 90.00°, β = 90.00°, γ = 90.00°
Space group Pmn2_1 (No. 31)
One atom of each set of equivalent atoms:
Pm1 0.000 0.119 0.000 [2 per cell]
Tm1 0.000 0.371 0.497 [2 per cell]
Tm2 0.000 0.629 0.993 [2 per cell]
Tm3 0.246 0.630 0.336 [4 per cell]
Sc1 0.000 0.877 0.502 [2 per cell]
Sc2 0.249 0.121 0.331 [4 per cell]

[10]
Density functional theory data (GGA-PBE) for an optimized crystal structure of Pm3Tm5Sc3.

Output
As for the energy: -51.69 eV per cell.

a = 10.8216 Å, b = 10.8216 Å, c = 3.3630 Å
α = 90.00°, β = 90.00°, γ = 120.00°
Space group P-62m (No. 189)
One atom of each set of equivalent atoms:
Pm1 0.0000 0.3429 0.0000 [3 per cell]
Tm1 0.0000 0.8342 0.0000 [3 per cell]
Tm2 0.3333 0.6667 0.0000 [2 per cell]
Sc1 0.0000 0.5912 0.5000 [3 per cell]

[11]
Density functional theory data (GGA-PBE) for an optimized crystal structure of PmTm4Sc2.

Output
The relative energy among the computed polymorphs is 0.000 eV per atom. As for the energy: -70.00 eV per cell.

a = 6.856 Å, b = 8.271 Å, c = 8.513 Å
α = 114.22°, β = 101.51°, γ = 102.06°
Space group P1 (No. 1)
One atom of each set of equivalent atoms:
Pm1 0.000 0.000 0.000 [1 per cell]
Pm2 0.416 0.451 0.178 [1 per cell]
Tm1 0.082 0.735 0.595 [1 per cell]
Tm2 0.111 0.560 0.878 [1 per cell]
Tm3 0.199 0.332 0.467 [1 per cell]
Tm4 0.312 0.900 0.341 [1 per cell]
Tm5 0.504 0.001 0.005 [1 per cell]
Tm6 0.610 0.562 0.872 [1 per cell]
Tm7 0.724 0.159 0.738 [1 per cell]
Tm8 0.811 0.899 0.341 [1 per cell]
Sc1 0.227 0.159 0.740 [1 per cell]
Sc2 0.584 0.738 0.601 [1 per cell]
Sc3 0.703 0.339 0.468 [1 per cell]
Sc4 0.906 0.447 0.171 [1 per cell]

[12]
Density functional theory data (GGA-PBE) for an optimized crystal structure of Pm12Tm5Sc.

Output
As for the energy: -167.69 eV per cell.

a = 11.245 Å, b = 17.757 Å, c = 5.898 Å
α = 90.00°, β = 90.00°, γ = 90.00°
Space group Cmmm (No. 65)
One atom of each set of equivalent atoms:
Pm1 0.155 0.000 0.000 [4 per cell]
Pm2 0.156 0.500 0.500 [4 per cell]
Pm3 0.160 0.160 0.500 [8 per cell]
Pm4 0.162 0.337 0.000 [8 per cell]
Tm1 0.000 0.171 0.000 [4 per cell]
Tm2 0.000 0.328 0.500 [4 per cell]
Tm3 0.000 0.500 0.000 [2 per cell]
Sc1 0.000 0.000 0.500 [2 per cell]

[13]
Density functional theory data (GGA-PBE) for an optimized crystal structure of Pm2Tm3Sc.

Output
The relative energy among the computed polymorphs is 0.108 eV per atom. As for the energy: -113.46 eV per cell.

a = 17.455 Å, b = 3.428 Å, c = 14.000 Å
α = 90.00°, β = 117.38°, γ = 90.00°
Space group C2/m (No. 12)
One atom of each set of equivalent atoms:
Pm1 0.153 0.000 0.468 [4 per cell]
Pm2 0.179 0.500 0.876 [4 per cell]
Tm1 0.038 0.500 0.211 [4 per cell]
Tm2 0.099 0.000 0.027 [4 per cell]
Tm3 0.239 0.000 0.294 [4 per cell]
Sc1 0.063 0.000 0.641 [4 per cell]

[14]
Density functional theory data (GGA-PBE) for an optimized crystal structure of Pm3TmSc.

Output
The relative energy among the computed polymorphs is 0.085 eV per atom. As for the energy: -97.02 eV per cell.

a = 3.512 Å, b = 17.359 Å, c = 10.641 Å
α = 90.00°, β = 90.00°, γ = 90.00°
Space group Cmcm (No. 63)
One atom of each set of equivalent atoms:
Pm1 0.000 0.000 0.000 [4 per cell]
Pm2 0.000 0.327 0.060 [8 per cell]
Tm1 0.000 0.146 0.250 [4 per cell]
Sc1 0.000 0.478 0.250 [4 per cell]

[15]
Density functional theory data (GGA-PBE) for an optimized crystal structure of PmTm8Sc3.

Output
As for the energy: -109.50 eV per cell.

a = 6.299 Å, b = 10.832 Å, c = 11.181 Å
α = 90.00°, β = 90.00°, γ = 90.00°
Space group Immm (No. 71)
One atom of each set of equivalent atoms:
Pm1 0.000 0.000 0.000 [2 per cell]
Tm1 0.000 0.165 0.252 [8 per cell]
Tm2 0.239 0.273 0.000 [8 per cell]
Sc1 0.000 0.000 0.500 [2 per cell]
Sc2 0.000 0.500 0.223 [4 per cell]

[16]
Density functional theory data (GGA-PBE) for an optimized crystal structure of Pm5Tm4Sc.

Output
The relative energy among the computed polymorphs is 0.000 eV per atom. As for the energy: -47.08 eV per cell.

a = 4.070 Å, b = 4.070 Å, c = 19.186 Å
α = 90.00°, β = 90.00°, γ = 90.00°
Space group P4/mmm (No. 123)
One atom of each set of equivalent atoms:
Pm1 0.000 0.000 0.000 [1 per cell]
Pm2 0.000 0.000 0.201 [2 per cell]
Pm3 0.000 0.000 0.407 [2 per cell]
Tm1 0.500 0.500 0.101 [2 per cell]
Tm2 0.500 0.500 0.304 [2 per cell]
Sc1 0.500 0.500 0.500 [1 per cell]

[17]
Density functional theory data (GGA-PBE) for an optimized crystal structure of Pm10TmSc4.

Output
As for the energy: -138.68 eV per cell.

a = 11.106 Å, b = 11.106 Å, c = 8.328 Å
α = 90.00°, β = 90.00°, γ = 90.00°
Space group I4/m (No. 87)
One atom of each set of equivalent atoms:
Pm1 0.000 0.500 0.250 [4 per cell]
Pm2 0.115 0.226 0.192 [16 per cell]
Tm1 0.000 0.000 0.000 [2 per cell]
Sc1 0.064 0.786 0.500 [8 per cell]

[18]
Density functional theory data (GGA-PBE) for an optimized crystal structure of PmTm10Sc4.

Output
As for the energy: -132.06 eV per cell.

a = 12.238 Å, b = 12.238 Å, c = 6.505 Å
α = 90.00°, β = 90.00°, γ = 90.00°
Space group I4/m (No. 87)
One atom of each set of equivalent atoms:
Pm1 0.000 0.000 0.000 [2 per cell]
Tm1 0.000 0.500 0.250 [4 per cell]
Tm2 0.123 0.281 0.246 [16 per cell]
Sc1 0.069 0.824 0.500 [8 per cell]

[19]
Density functional theory data (GGA-PBE) for an optimized crystal structure of Pm3TmSc4.

Output
As for the energy: -87.34 eV per cell.

a = 10.899 Å, b = 7.063 Å, c = 6.001 Å
α = 90.00°, β = 90.00°, γ = 90.00°
Space group Pmn2_1 (No. 31)
One atom of each set of equivalent atoms:
Pm1 0.000 0.136 0.000 [2 per cell]
Pm2 0.250 0.136 0.350 [4 per cell]
Tm1 0.000 0.861 0.498 [2 per cell]
Sc1 0.000 0.388 0.510 [2 per cell]
Sc2 0.000 0.612 0.010 [2 per cell]
Sc3 0.248 0.612 0.340 [4 per cell]

Record-wise ΔH_f (0 K) values, in eV/atom: 0.13 0.68 0.03 0.16 0.19 0.10 0.03 0.66 0.02 0.36 0.04 0.10 0.15 0.16 0.40 0.09 0.53 0.58 0.05
Record-wise V values, in Å³/atom: 27.3 36.1 31.1 30.9 28.7 30.2 31.3 36.9 28.6 31.0 29.1 32.7 31.0 32.4 31.8 31.8 34.2 32.5 28.9